1.
{"formula": "HoTm3Sb2", "functional": "GGA-PBE", "state": "relaxed", "lattice": [[8.993, -2.119, 0.000], [8.993, 2.119, 0.000], [-3.857, 0.000, 8.844]], "species": ["Ho", "Ho", "Tm", "Tm", "Tm", "Tm", "Tm", "Tm", "Sb", "Sb", "Sb", "Sb"], "frac_coords": [[0.110, 0.110, 0.114], [0.890, 0.890, 0.886], [0.056, 0.056, 0.674], [0.312, 0.312, 0.108], [0.358, 0.358, 0.523], [0.642, 0.642, 0.477], [0.688, 0.688, 0.892], [0.944, 0.944, 0.326], [0.251, 0.251, 0.720], [0.491, 0.491, 0.155], [0.509, 0.509, 0.845], [0.749, 0.749, 0.280]], "volume_a3_per_fu": 168.51, "n_ef_per_ev_cell": 11.257, "raw_formation_energy_mev_per_atom": -644, "de_polymorph_mev_per_atom": 108}



2.
{"formula": "Sr3ScTl", "functional": "GGA-PBE", "state": "relaxed", "lattice": [[6.348, 0.000, 0.000], [0.000, 6.348, 0.000], [0.000, 0.000, 6.348]], "species": ["Sr", "Sr", "Sr", "Sc", "Tl"], "frac_coords": [[0.000, 0.000, 0.500], [0.000, 0.500, 0.000], [0.500, 0.000, 0.000], [0.000, 0.000, 0.000], [0.500, 0.500, 0.500]], "volume_a3_per_fu": 255.83, "n_ef_per_ev_cell": 6.831, "formation_energy_ev_per_atom": 0.61, "de_polymorph_mev_per_atom": 255}



3.
{"formula": "Fe2Ni9Sb", "functional": "GGA-PBE", "state": "relaxed", "lattice": [[3.624, 0.000, 0.000], [0.000, 3.624, 0.000], [0.000, 0.000, 10.733]], "species": ["Fe", "Fe", "Ni", "Ni", "Ni", "Ni", "Ni", "Ni", "Ni", "Ni", "Ni", "Sb"], "frac_coords": [[0.000, 0.000, 0.159], [0.000, 0.000, 0.841], [0.000, 0.500, 0.000], [0.000, 0.500, 0.320], [0.000, 0.500, 0.680], [0.500, 0.000, 0.000], [0.500, 0.000, 0.320], [0.500, 0.000, 0.680], [0.500, 0.500, 0.161], [0.500, 0.500, 0.500], [0.500, 0.500, 0.839], [0.000, 0.000, 0.500]], "volume_a3_per_fu": 140.97, "n_ef_per_ev_cell": 8.911, "raw_formation_energy_mev_per_atom": -92}



Please write out number 3 again, unchanged.
{"formula": "Fe2Ni9Sb", "functional": "GGA-PBE", "state": "relaxed", "lattice": [[3.624, 0.000, 0.000], [0.000, 3.624, 0.000], [0.000, 0.000, 10.733]], "species": ["Fe", "Fe", "Ni", "Ni", "Ni", "Ni", "Ni", "Ni", "Ni", "Ni", "Ni", "Sb"], "frac_coords": [[0.000, 0.000, 0.159], [0.000, 0.000, 0.841], [0.000, 0.500, 0.000], [0.000, 0.500, 0.320], [0.000, 0.500, 0.680], [0.500, 0.000, 0.000], [0.500, 0.000, 0.320], [0.500, 0.000, 0.680], [0.500, 0.500, 0.161], [0.500, 0.500, 0.500], [0.500, 0.500, 0.839], [0.000, 0.000, 0.500]], "volume_a3_per_fu": 140.97, "n_ef_per_ev_cell": 8.911, "raw_formation_energy_mev_per_atom": -92}



What did the second record say?
{"formula": "Sr3ScTl", "functional": "GGA-PBE", "state": "relaxed", "lattice": [[6.348, 0.000, 0.000], [0.000, 6.348, 0.000], [0.000, 0.000, 6.348]], "species": ["Sr", "Sr", "Sr", "Sc", "Tl"], "frac_coords": [[0.000, 0.000, 0.500], [0.000, 0.500, 0.000], [0.500, 0.000, 0.000], [0.000, 0.000, 0.000], [0.500, 0.500, 0.500]], "volume_a3_per_fu": 255.83, "n_ef_per_ev_cell": 6.831, "formation_energy_ev_per_atom": 0.61, "de_polymorph_mev_per_atom": 255}



- Which formula does entry 1 have?
  HoTm3Sb2